Record 1
First-principles (GGA-PBE) data for a geometry-optimized SrTiZn3 structure, as listed in Alexandria via LeMat-Bulk.

a b c (Å): 5.0625 5.0625 5.0625
angles (deg): 90.00 90.00 90.00
Closest atoms and distances in Å follow each position.
Positions (direct):
Zn 0.0000 0.5000 0.0000  2 Ti 2.53
Zn 0.0000 0.0000 0.5000  2 Ti 2.53
Zn 0.5000 0.0000 0.0000  2 Ti 2.53
Sr 0.5000 0.5000 0.5000  12 Zn 3.58
Ti 0.0000 0.0000 0.0000  6 Zn 2.53

- V: 25.95 Å³ per atom
- Energy above the lowest structure with this stoichiometry: 0.000 eV per atom
- Formation energy: 1.3 eV per formula unit
- Space-group type: Pm-3m


Record 2
First-principles (GGA-PBE) data for a geometry-optimized TbPm3Sm3Se8 structure, as listed in Alexandria via LeMat-Bulk.

a b c (Å): 8.3302 8.3306 8.3386
angles (deg): 119.96 90.00 120.00
Closest atoms and distances in Å follow each position.
Positions (direct):
Sm 0.5000 0.5000 0.5000  6 Se 2.94
Sm 0.0000 0.5000 0.5000  6 Se 2.94
Sm 0.5000 0.0000 0.5000  6 Se 2.94
Pm 0.5000 0.5000 0.0000  6 Se 2.95
Pm 0.0000 0.0000 0.0000  6 Se 2.95
Pm 0.0000 0.5000 0.0000  6 Se 2.95
Se 0.7494 0.4987 0.7480  3 Sm 2.94, 3 Pm 2.95
Se 0.2504 0.0013 0.2523  1 Tb 2.94, 2 Sm 2.94, 2 Pm 2.95
Se 0.7509 0.0013 0.2523  1 Tb 2.94, 2 Sm 2.94, 2 Pm 2.95
Se 0.2491 0.4983 0.7479  1 Tb 2.94, 2 Sm 2.94, 2 Pm 2.95
Se 0.7509 0.5017 0.2521  1 Tb 2.94, 2 Sm 2.94, 2 Pm 2.95
Se 0.2506 0.5013 0.2520  3 Sm 2.94, 3 Pm 2.95
Se 0.2491 0.9987 0.7477  1 Tb 2.94, 2 Sm 2.94, 2 Pm 2.95
Se 0.7496 0.9987 0.7477  1 Tb 2.94, 2 Sm 2.94, 2 Pm 2.95
Tb 0.0000 0.0000 0.5000  6 Se 2.94

- V: 27.29 Å³ per atom
- Space-group type: R-3m
- Raw total energy: -89.01 eV/cell


Record 3
First-principles (GGA-PBE) data for a geometry-optimized Be8Cl structure, as listed in Alexandria via LeMat-Bulk.

a b c (Å): 5.6773 5.6773 5.6773
angles (deg): 93.89 93.89 149.79
Closest atoms and distances in Å follow each position.
Positions (direct):
Be 0.6468 0.0000 0.6468  9 Be 2.19-2.44
Be 0.0000 0.6468 0.6468  9 Be 2.19-2.44
Be 0.3160 0.6840 0.0000  2 Be 2.07
Be 0.0000 0.3532 0.3532  9 Be 2.19-2.44
Be 0.6840 0.6840 0.3679  2 Be 2.07
Be 0.6840 0.3160 0.0000  2 Be 2.07
Be 0.3160 0.3160 0.6321  2 Be 2.07
Be 0.3532 0.0000 0.3532  9 Be 2.19-2.44
Cl 0.0000 0.0000 0.0000  12 Be 2.50-2.74

- V: 9.88 Å³ per atom
- Space-group type: I4/mmm
- Raw total energy: -27.22 eV/cell


Record 4
First-principles (GGA-PBE) data for a geometry-optimized Ac2SmTcN4 structure, as listed in Alexandria via LeMat-Bulk.

a b c (Å): 3.5931 6.6235 12.7690
angles (deg): 90.00 90.00 105.74
Closest atoms and distances in Å follow each position.
Positions (direct):
N 0.0000 0.0000 0.0000  4 Ac 2.52
N 0.0000 0.0000 0.5000  4 Ac 2.52
N 0.2759 0.5518 0.1448  1 Tc 2.06
N 0.4108 0.8217 0.7500  2 Tc 1.98
N 0.7241 0.4482 0.8552  1 Tc 2.06
N 0.5892 0.1783 0.2500  2 Tc 1.98
N 0.7241 0.4482 0.6448  1 Tc 2.06
N 0.2759 0.5518 0.3552  1 Tc 2.06
Tc 0.8464 0.6928 0.7500  4 N 1.98-2.06
Tc 0.1536 0.3072 0.2500  4 N 1.98-2.06
Sm 0.8646 0.7291 0.2500  4 N 2.51
Sm 0.1354 0.2709 0.7500  4 N 2.51
Ac 0.6323 0.2646 0.0397  4 N 2.52-2.74
Ac 0.3677 0.7354 0.9603  4 N 2.52-2.74
Ac 0.6323 0.2646 0.4603  4 N 2.52-2.74
Ac 0.3677 0.7354 0.5397  4 N 2.52-2.74

- V: 18.28 Å³ per atom
- Space-group type: Cmcm
- Raw total energy: -124.52 eV/cell


Record 5
First-principles (GGA-PBE) data for a geometry-optimized TeP structure, as listed in Alexandria via LeMat-Bulk.

a b c (Å): 3.2722 3.2725 10.6502
angles (deg): 80.94 81.25 71.25
Closest atoms and distances in Å follow each position.
Positions (direct):
Te 0.5952 0.7340 0.7142  1 Te 2.88
Te 0.5039 0.6315 0.9892  1 Te 2.88, 1 P 3.01
P 0.0240 0.1354 0.3783  3 P 2.21-2.30
P 0.4266 0.5407 0.2766  3 P 2.21-2.30

- V: 26.50 Å³ per atom
- Space-group type: P1
- Raw total energy: -16.48 eV/cell


Record 6
First-principles (GGA-PBE) data for a geometry-optimized CuHN3 structure, as listed in Alexandria via LeMat-Bulk.

a b c (Å): 3.2816 3.2816 3.2816
angles (deg): 90.00 90.00 90.00
Closest atoms and distances in Å follow each position.
Positions (direct):
N 0.0000 0.5000 0.0000  2 H 1.64
N 0.0000 0.0000 0.5000  2 H 1.64
N 0.5000 0.0000 0.0000  2 H 1.64
Cu 0.5000 0.5000 0.5000  12 N 2.32
H 0.0000 0.0000 0.0000  6 N 1.64

- V: 7.07 Å³ per atom
- Space-group type: Pm-3m
- Raw total energy: -20.08 eV/cell


Record 7
First-principles (GGA-PBE) data for a geometry-optimized Dy4Ga12Ir structure, as listed in Alexandria via LeMat-Bulk.

a b c (Å): 7.4579 7.4579 7.4579
angles (deg): 109.47 109.47 109.47
Closest atoms and distances in Å follow each position.
Positions (direct):
Dy 0.5000 0.5000 0.5000  12 Ga 3.04-3.07
Dy 0.0000 0.5000 0.0000  12 Ga 3.04-3.07
Dy 0.5000 0.0000 0.0000  12 Ga 3.04-3.07
Dy 0.0000 0.0000 0.5000  12 Ga 3.04-3.07
Ga 0.7500 0.2500 0.5000  8 Ga 2.79-3.04, 4 Dy 3.04
Ga 0.2930 0.0000 0.2930  1 Ir 2.52, 4 Ga 2.79
Ga 0.5000 0.2500 0.7500  8 Ga 2.79-3.04, 4 Dy 3.04
Ga 0.2500 0.5000 0.7500  8 Ga 2.79-3.04, 4 Dy 3.04
Ga 0.2930 0.2930 0.0000  1 Ir 2.52, 4 Ga 2.79
Ga 0.7070 0.7070 0.0000  1 Ir 2.52, 4 Ga 2.79
Ga 0.5000 0.7500 0.2500  8 Ga 2.79-3.04, 4 Dy 3.04
Ga 0.7070 0.0000 0.7070  1 Ir 2.52, 4 Ga 2.79
Ga 0.7500 0.5000 0.2500  8 Ga 2.79-3.04, 4 Dy 3.04
Ga 0.2500 0.7500 0.5000  8 Ga 2.79-3.04, 4 Dy 3.04
Ga 0.0000 0.2930 0.2930  1 Ir 2.52, 4 Ga 2.79
Ga 0.0000 0.7070 0.7070  1 Ir 2.52, 4 Ga 2.79
Ir 0.0000 0.0000 0.0000  6 Ga 2.52

- V: 18.78 Å³ per atom
- Formation energy: -10.3 eV per formula unit
- Space-group type: Im-3m


Record 8
First-principles (GGA-PBE) data for a geometry-optimized AlHgAs2O8 structure, as listed in Alexandria via LeMat-Bulk.

a b c (Å): 5.3943 5.3943 6.4302
angles (deg): 90.00 90.00 120.00
Closest atoms and distances in Å follow each position.
Positions (direct):
O 0.3333 0.6667 0.4725  1 As 1.70
O 0.6667 0.3333 0.5275  1 As 1.70
O 0.1578 0.8422 0.8147  1 As 1.71, 1 Al 1.90
O 0.3156 0.1578 0.1853  1 As 1.71, 1 Al 1.90
O 0.1578 0.3156 0.8147  1 As 1.71, 1 Al 1.90
O 0.8422 0.6844 0.1853  1 As 1.71, 1 Al 1.90
O 0.8422 0.1578 0.1853  1 As 1.71, 1 Al 1.90
O 0.6844 0.8422 0.8147  1 As 1.71, 1 Al 1.90
As 0.6667 0.3333 0.2626  4 O 1.70-1.71
As 0.3333 0.6667 0.7374  4 O 1.70-1.71
Hg 0.0000 0.0000 0.5000  6 O 2.50
Al 0.0000 0.0000 0.0000  6 O 1.90

- V: 13.50 Å³ per atom
- Space-group type: P-3m1
- Raw total energy: -67.36 eV/cell


Record 9
First-principles (GGA-PBE) data for a geometry-optimized AcTb2Ce structure, as listed in Alexandria via LeMat-Bulk.

a b c (Å): 5.8418 5.8418 5.8418
angles (deg): 60.00 60.00 60.00
Closest atoms and distances in Å follow each position.
Positions (direct):
Ce 0.0000 0.0000 0.0000  8 Tb 3.58
Ac 0.5000 0.5000 0.5000  8 Tb 3.58
Tb 0.7500 0.7500 0.7500  4 Ac 3.58, 4 Ce 3.58
Tb 0.2500 0.2500 0.2500  4 Ac 3.58, 4 Ce 3.58

- V: 35.24 Å³ per atom
- Energy above the lowest structure with this stoichiometry: 0.106 eV per atom
- Formation energy: 0.8 eV per formula unit
- Space-group type: Fm-3m


Record 10
First-principles (GGA-PBE) data for a geometry-optimized ErSc3O structure, as listed in Alexandria via LeMat-Bulk.

a b c (Å): 5.2231 6.0083 6.5876
angles (deg): 89.68 90.00 90.00
Closest atoms and distances in Å follow each position.
Positions (direct):
O 0.6735 0.6802 0.2009  5 Sc 2.24-2.27, 1 Er 2.41
O 0.1735 0.6726 0.7007  5 Sc 2.24-2.27, 1 Er 2.41
Sc 0.4249 0.8086 0.4530  2 O 2.24-2.25
Sc 0.9350 0.9893 0.6989  1 O 2.27
Sc 0.4350 0.3635 0.2027  1 O 2.27
Sc 0.9237 0.5450 0.9540  2 O 2.24-2.25
Sc 0.4237 0.8078 0.9476  2 O 2.24-2.25
Sc 0.9249 0.5442 0.4485  2 O 2.24-2.25
Er 0.9210 0.0184 0.1988  1 O 2.41
Er 0.4210 0.3343 0.7027  1 O 2.41

- V: 20.67 Å³ per atom
- Energy above the lowest structure with this stoichiometry: 0.000 eV per atom
- Space-group type: P2_1


Record 11
First-principles (GGA-PBE) data for a geometry-optimized Li4TbSn2 structure, as listed in Alexandria via LeMat-Bulk.

a b c (Å): 4.7392 4.7392 8.1997
angles (deg): 73.20 73.20 60.00
Closest atoms and distances in Å follow each position.
Positions (direct):
Tb 0.0000 0.0000 0.0000  8 Li 3.17-3.40, 6 Sn 3.21
Li 0.1368 0.1368 0.5896  4 Sn 2.88-3.12, 6 Li 2.97-3.07, 1 Tb 3.17
Li 0.8632 0.8632 0.4104  4 Sn 2.88-3.12, 6 Li 2.97-3.07, 1 Tb 3.17
Li 0.4200 0.4200 0.7399  3 Sn 2.76, 3 Li 2.97
Li 0.5800 0.5800 0.2601  3 Sn 2.76, 3 Li 2.97
Sn 0.2608 0.2608 0.2176  4 Li 2.76-2.88
Sn 0.7392 0.7392 0.7824  4 Li 2.76-2.88

- V: 21.48 Å³ per atom
- Energy above the lowest structure with this stoichiometry: 0.000 eV per atom
- Formation energy: -3.3 eV per formula unit
- Space-group type: R-3m


Record 12
First-principles (GGA-PBE) data for a geometry-optimized YBPt4 structure, as listed in Alexandria via LeMat-Bulk.

a b c (Å): 5.0006 5.6886 7.7037
angles (deg): 111.67 108.86 90.00
Closest atoms and distances in Å follow each position.
Positions (direct):
Pt 0.8052 0.3056 0.6111  4 Y 2.84-2.91, 8 Pt 2.93-3.08, 2 B 3.06-3.07
Pt 0.0000 0.2516 0.0000  2 B 2.14
Pt 0.0000 0.7484 0.0000  2 B 2.14
Pt 0.1948 0.6944 0.3889  4 Y 2.84-2.91, 8 Pt 2.93-3.08, 2 B 3.06-3.07
Pt 0.6143 0.8665 0.2289  2 B 2.28
Pt 0.3857 0.6376 0.7711  2 B 2.28
Pt 0.3857 0.1335 0.7711  2 B 2.28
Pt 0.6143 0.3624 0.2289  2 B 2.28
B 0.6785 0.4999 0.9999  1 B 1.79
B 0.3215 0.5001 0.0001  1 B 1.79
Y 0.1944 0.1946 0.3893  12 Pt 2.84-3.07
Y 0.8056 0.8054 0.6107  12 Pt 2.84-3.07

- V: 15.91 Å³ per atom
- Formation energy: -4.2 eV per formula unit
- Space-group type: C2/m


Record 13
First-principles (GGA-PBE) data for a geometry-optimized Li2Pm3Ge3 structure, as listed in Alexandria via LeMat-Bulk.

a b c (Å): 4.3462 6.0747 14.6388
angles (deg): 90.00 90.00 110.96
Closest atoms and distances in Å follow each position.
Positions (direct):
Li 0.7831 0.5662 0.5791  4 Ge 2.61-2.81
Li 0.7831 0.5662 0.9209  4 Ge 2.61-2.81
Li 0.2169 0.4338 0.4209  4 Ge 2.61-2.81
Li 0.2169 0.4338 0.0791  4 Ge 2.61-2.81
Ge 0.5977 0.1954 0.4547  1 Ge 2.58, 3 Li 2.61-2.78
Ge 0.3289 0.6578 0.2500  2 Li 2.81, 6 Pm 3.09-3.12
Ge 0.5977 0.1954 0.0453  1 Ge 2.58, 3 Li 2.61-2.78
Ge 0.6711 0.3422 0.7500  2 Li 2.81, 6 Pm 3.09-3.12
Ge 0.4023 0.8046 0.5453  1 Ge 2.58, 3 Li 2.61-2.78
Ge 0.4023 0.8046 0.9547  1 Ge 2.58, 3 Li 2.61-2.78
Pm 0.0791 0.1582 0.6151  6 Ge 3.12-3.21, 4 Li 3.22-3.40
Pm 0.9209 0.8418 0.1151  6 Ge 3.12-3.21, 4 Li 3.22-3.40
Pm 0.0791 0.1582 0.8849  6 Ge 3.12-3.21, 4 Li 3.22-3.40
Pm 0.3641 0.7282 0.7500  4 Ge 3.03-3.09
Pm 0.9209 0.8418 0.3849  6 Ge 3.12-3.21, 4 Li 3.22-3.40
Pm 0.6359 0.2718 0.2500  4 Ge 3.03-3.09

- V: 22.56 Å³ per atom
- Formation energy: -5.5 eV per formula unit
- Space-group type: Cmcm


Record 14
First-principles (GGA-PBE) data for a geometry-optimized Cd3Ge structure, as listed in Alexandria via LeMat-Bulk.

a b c (Å): 4.4479 4.4447 4.4468
angles (deg): 90.00 90.00 90.00
Closest atoms and distances in Å follow each position.
Positions (direct):
Cd 0.0000 0.5000 0.5830  8 Cd 3.14-3.15, 4 Ge 3.14
Cd 0.0000 0.0000 0.0833  8 Cd 3.14, 4 Ge 3.14-3.15
Cd 0.5000 0.5000 0.0833  4 Ge 3.14-3.15, 8 Cd 3.14-3.15
Ge 0.5000 0.0000 0.5838  12 Cd 3.14-3.15

- V: 21.98 Å³ per atom
- Energy above the lowest structure with this stoichiometry: 0.019 eV per atom
- Formation energy: 0.5 eV per formula unit
- Space-group type: Pm-3m